Record 1
The following is a DFT calculation (GGA-PBE) of a relaxed ScMnSe2 crystal.

Unit cell a=3.4676 b=3.5132 c=6.8418 alpha=73.86 beta=90.00 gamma=90.00
Atoms (fractional coordinates):
Se1 0.0000 0.3317 0.5121
Se2 0.0000 0.1683 0.9879
Mn1 0.5000 0.2500 0.2500
Sc1 0.5000 0.7500 0.7500

Summary:
size of the total moment: 3.938 μB/f.u.
offset from the most stable computed form: 222 meV per atom
E: -6.395 eV per atom
space-group type: P2/m
calculated volume: 80 Å³/f.u.
E_form (uncorrected): -0.7771 eV per atom
crystal system: monoclinic

---

Record 2
The following is a DFT calculation (GGA-PBE) of a relaxed KPb2Se crystal.

Unit cell a=6.4411 b=6.4411 c=6.4411 alpha=136.69 beta=133.14 gamma=65.71
Atoms (fractional coordinates):
Pb1 0.6884 0.1884 0.5000
Pb2 0.0075 0.0075 0.0000
Se1 0.5246 0.5246 0.0000
K1 0.2795 0.7795 0.5000

Summary:
size of the total moment: 0.000 μB/f.u.
E: -3.276 eV per atom
space-group type: Imm2
calculated volume: 132 Å³/f.u.
E_form (uncorrected): -0.2763 eV per atom
crystal system: orthorhombic

---

Record 3
The following is a DFT calculation (GGA-PBE) of a relaxed LaSmEr2Tm4 crystal.

Unit cell a=10.0657 b=9.9334 c=12.2137 alpha=144.39 beta=114.29 gamma=90.01
Atoms (fractional coordinates):
Tm1 0.7485 0.2558 0.0019
Tm2 0.2516 0.2521 0.9983
Tm3 0.2515 0.7442 0.9981
Tm4 0.7484 0.7479 0.0018
Tm5 0.7483 0.7486 0.4948
Tm6 0.7485 0.2414 0.4953
Tm7 0.2516 0.2511 0.5049
Tm8 0.2516 0.7588 0.5050
La1 0.5002 0.5003 0.5003
La2 0.0001 0.0002 0.0000
Er1 0.0001 0.0000 0.5001
Er2 0.4999 0.0000 0.0000
Er3 0.5000 0.5000 0.0000
Er4 0.4999 0.9998 0.4999
Sm1 0.9999 0.4998 0.9999
Sm2 0.9999 0.4999 0.4998

Summary:
size of the total moment: 0.000 μB/f.u.
E: -4.555 eV per atom
space-group type: P2/m
calculated volume: 251 Å³/f.u.
crystal system: monoclinic